# 1
DFT (PBE-GGA) results for a geometry-optimized Ga2NiS structure.

Summary:
Energy above the lowest structure with this stoichiometry = 397 meV per atom
Energy = -14.65 eV for the cell shown
Crystal system = cubic

Cell: 4.485 4.485 4.485 Å, 60.00 60.00 60.00°
Sites, in units of the cell vectors:
Ga 0.250 0.250 0.250
Ga 0.750 0.750 0.750
Ni 0.000 0.000 0.000
S 0.500 0.500 0.500

***

# 2
DFT (PBE-GGA) results for a geometry-optimized BaMgFe2Cl8 structure.

Summary:
Energy = -51.74 eV for the cell shown
Crystal system = trigonal

Cell: 6.399 6.399 8.798 Å, 90.00 90.00 120.00°
Sites, in units of the cell vectors:
Ba 0.000 0.000 0.000
Mg 0.000 0.000 0.500
Fe 0.333 0.667 0.736
Fe 0.667 0.333 0.264
Cl 0.004 0.695 0.322
Cl 0.305 0.309 0.322
Cl 0.309 0.004 0.678
Cl 0.333 0.667 0.995
Cl 0.667 0.333 0.005
Cl 0.691 0.996 0.322
Cl 0.695 0.691 0.678
Cl 0.996 0.305 0.678

***

# 3
DFT (PBE-GGA) results for a geometry-optimized SmYTmSc structure.

Summary:
Energy above the lowest structure with this stoichiometry = 0 meV per atom
ΔE_f = 102.4 meV per atom
Energy = -21.58 eV for the cell shown
Crystal system = orthorhombic

Cell: 6.640 6.640 6.640 Å, 146.76 130.24 61.16°
Sites, in units of the cell vectors:
Sm 0.000 0.000 0.000
Y 0.724 0.224 0.500
Tm 0.459 0.459 0.000
Sc 0.232 0.732 0.500

***

# 4
DFT (PBE-GGA) results for a geometry-optimized MnCuIr structure.

Summary:
Energy above the lowest structure with this stoichiometry = 401 meV per atom
ΔE_f = 407.5 meV per atom
Energy = -20.90 eV for the cell shown
Crystal system = cubic

Cell: 3.992 3.992 3.992 Å, 60.00 60.00 60.00°
Sites, in units of the cell vectors:
Mn 0.000 0.000 0.000
Cu 0.250 0.250 0.250
Ir 0.750 0.750 0.750

***

# 5
DFT (PBE-GGA) results for a geometry-optimized Er8MgCo2 structure.

Summary:
ΔE_f = -49.1 meV per atom
Energy = -52.85 eV for the cell shown
Crystal system = monoclinic

Cell: 7.800 7.800 5.324 Å, 96.78 96.78 113.70°
Sites, in units of the cell vectors:
Er 0.110 0.110 0.797
Er 0.168 0.433 0.427
Er 0.245 0.755 0.000
Er 0.433 0.168 0.427
Er 0.567 0.832 0.573
Er 0.755 0.245 0.000
Er 0.832 0.567 0.573
Er 0.890 0.890 0.203
Mg 0.500 0.500 0.000
Co 0.191 0.809 0.500
Co 0.809 0.191 0.500

***

# 6
DFT (PBE-GGA) results for a geometry-optimized HfSbSe4 structure.

Summary:
Energy above the lowest structure with this stoichiometry = 184 meV per atom
Energy = -62.72 eV for the cell shown
Crystal system = monoclinic

Cell: 6.676 6.755 6.809 Å, 90.00 90.25 90.00°
Sites, in units of the cell vectors:
Hf 0.000 0.000 0.000
Hf 0.000 0.500 0.500
Sb 0.500 0.000 0.500
Sb 0.500 0.500 0.000
Se 0.120 0.152 0.656
Se 0.120 0.348 0.156
Se 0.356 0.622 0.622
Se 0.356 0.878 0.122
Se 0.644 0.122 0.878
Se 0.644 0.378 0.378
Se 0.880 0.652 0.844
Se 0.880 0.848 0.344

***

# 7
DFT (PBE-GGA) results for a geometry-optimized PdPbAu2I structure.

Summary:
Energy = -15.50 eV for the cell shown
Crystal system = tetragonal

Cell: 5.189 5.189 5.219 Å, 90.00 90.00 90.00°
Sites, in units of the cell vectors:
Pd 0.000 0.000 0.000
Pb 0.500 0.500 0.500
Au 0.000 0.500 0.000
Au 0.500 0.000 0.000
I 0.000 0.000 0.500

***

# 8
DFT (PBE-GGA) results for a geometry-optimized LaNbHg2Sb structure.

Summary:
Energy = -17.11 eV for the cell shown
Crystal system = tetragonal

Cell: 5.415 5.415 5.409 Å, 90.00 90.00 90.00°
Sites, in units of the cell vectors:
La 0.000 0.000 0.000
Nb 0.000 0.000 0.500
Hg 0.000 0.500 0.500
Hg 0.500 0.000 0.500
Sb 0.500 0.500 0.000

***

# 9
DFT (PBE-GGA) results for a geometry-optimized TaAlO4 structure.

Summary:
Energy = -102.81 eV for the cell shown
Crystal system = tetragonal

Cell: 4.729 4.729 8.612 Å, 90.00 90.00 90.00°
Sites, in units of the cell vectors:
Ta 0.000 0.500 0.250
Ta 0.500 0.000 0.750
Al 0.000 0.000 0.000
Al 0.000 0.000 0.500
O 0.189 0.250 0.383
O 0.189 0.750 0.117
O 0.250 0.189 0.883
O 0.250 0.811 0.617
O 0.750 0.189 0.617
O 0.750 0.811 0.883
O 0.811 0.250 0.117
O 0.811 0.750 0.383

***

# 10
DFT (PBE-GGA) results for a geometry-optimized DyGaCo4 structure.

Summary:
Energy above the lowest structure with this stoichiometry = 192 meV per atom
ΔE_f = -42.3 meV per atom
Energy = -72.61 eV for the cell shown
Crystal system = orthorhombic

Cell: 7.681 7.681 5.664 Å, 90.00 90.00 149.20°
Sites, in units of the cell vectors:
Dy 0.124 0.876 0.750
Dy 0.876 0.124 0.250
Ga 0.224 0.776 0.250
Ga 0.776 0.224 0.750
Co 0.061 0.939 0.250
Co 0.343 0.657 0.552
Co 0.343 0.657 0.948
Co 0.500 0.500 0.000
Co 0.500 0.500 0.500
Co 0.657 0.343 0.052
Co 0.657 0.343 0.448
Co 0.939 0.061 0.750

***

# 11
DFT (PBE-GGA) results for a geometry-optimized BiBSe3 structure.

Summary:
Energy above the lowest structure with this stoichiometry = 0 meV per atom
Energy = -42.44 eV for the cell shown
Crystal system = triclinic

Cell: 3.644 8.078 11.466 Å, 73.64 81.81 78.07°
Sites, in units of the cell vectors:
Bi 0.112 0.048 0.255
Bi 0.888 0.952 0.745
B 0.255 0.375 0.579
B 0.745 0.625 0.421
Se 0.159 0.651 0.529
Se 0.242 0.246 0.752
Se 0.399 0.771 0.903
Se 0.601 0.229 0.097
Se 0.758 0.754 0.248
Se 0.841 0.349 0.471

***

# 12
DFT (PBE-GGA) results for a geometry-optimized Ac2Dy structure.

Summary:
Energy above the lowest structure with this stoichiometry = 332 meV per atom
ΔE_f = 389.9 meV per atom
Energy = -23.30 eV for the cell shown
Crystal system = cubic

Cell: 7.126 7.126 7.126 Å, 60.00 60.00 60.00°
Sites, in units of the cell vectors:
Ac 0.000 0.000 0.000
Ac 0.000 0.000 0.500
Ac 0.000 0.500 0.000
Ac 0.500 0.000 0.000
Dy 0.375 0.375 0.375
Dy 0.625 0.625 0.625